(1)
Compound: Pm2TlBr8
Source: the Alexandria database
Functional: GGA-PBE
Structure: relaxed

The space group is C2/m (No. 12) and the conventional cell measures 9.0941, 14.4934 and 5.6584 Å, with angles of 90.00, 90.11 and 90.00 degrees. The inequivalent atoms are Pm at (0.0000, 0.1978, 0.0000), Tl at (0.0000, 0.5000, 0.5000), Br at (0.0000, 0.2436, 0.5000), Br at (0.0008, 0.0000, 0.2527) and Br at (0.1915, 0.3666, 0.0012).

The calculation puts the formation energy without anion corrections at -1492 meV/atom. The calculation puts the distance to the lowest polymorph of the same formula at 0.000 eV/atom.

(2)
Compound: PmTlBr4
Source: the Alexandria database
Functional: GGA-PBE
Structure: relaxed

The space group is P-1 (No. 2) and the conventional cell measures 4.4120, 7.1515 and 8.4681 Å, with angles of 101.16, 90.00 and 107.79 degrees. The inequivalent atoms are Pm at (0.0000, 0.0000, 0.0000), Tl at (0.5000, 0.0000, 0.5000), Br at (0.1185, 0.2397, 0.3157) and Br at (0.3827, 0.7630, 0.0962).

The calculation puts the formation energy without anion corrections at -1528 meV/atom. The calculation puts the distance to the lowest polymorph of the same formula at 0.000 eV/atom.

(3)
Compound: Pm2TlBr
Source: the Alexandria database
Functional: GGA-PBE
Structure: relaxed

The space group is P4/mmm (No. 123) and the conventional cell measures 3.6211, 3.6211 and 8.4438 Å, with angles of 90.00, 90.00 and 90.00 degrees. The inequivalent atoms are Pm at (0.0000, 0.0000, 0.2456), Tl at (0.5000, 0.5000, 0.0000) and Br at (0.5000, 0.5000, 0.5000).

The calculation puts the formation energy without anion corrections at -696 meV/atom. The calculation puts the distance to the lowest polymorph of the same formula at 0.036 eV/atom.

(4)
Compound: Pm2TlBr
Source: the Alexandria database
Functional: GGA-PBE
Structure: relaxed

The space group is R3m (No. 160, hexagonal axes) and the conventional cell measures 3.8036, 3.8036 and 28.0459 Å, with angles of 90.00, 90.00 and 120.00 degrees. The inequivalent atoms are Pm at (0.0000, 0.0000, 0.0000), Pm at (0.0000, 0.0000, 0.1620), Tl at (0.0000, 0.0000, 0.5807) and Br at (0.0000, 0.0000, 0.4140).

The calculation puts the formation energy without anion corrections at -732 meV/atom. The calculation puts the distance to the lowest polymorph of the same formula at 0.000 eV/atom.

(5)
Compound: PmTl2Br8
Source: the Alexandria database
Functional: GGA-PBE
Structure: relaxed

The space group is C2/m (No. 12) and the conventional cell measures 14.6238, 8.9520 and 7.1907 Å, with angles of 90.00, 98.61 and 90.00 degrees. The inequivalent atoms are Pm at (0.0000, 0.0000, 0.0000), Tl at (0.1909, 0.0000, 0.6475), Br at (0.0801, 0.2211, 0.7768), Br at (0.1308, 0.5000, 0.2368) and Br at (0.1749, 0.0000, 0.2520).

The calculation puts the formation energy without anion corrections at -919 meV/atom.

(6)
Compound: Pm2Tl2Br7
Source: the Alexandria database
Functional: GGA-PBE
Structure: relaxed

The space group is C2/m (No. 12) and the conventional cell measures 12.5885, 8.8064 and 7.4600 Å, with angles of 90.00, 91.27 and 90.00 degrees. The inequivalent atoms are Pm at (0.2360, 0.0000, 0.0504), Tl at (0.0000, 0.2232, 0.5000), Br at (0.0000, 0.0000, 0.0000), Br at (0.0667, 0.5000, 0.7691) and Br at (0.2118, 0.2891, 0.2419).

The calculation puts the formation energy without anion corrections at -1390 meV/atom.

Computed values of density of states at the Fermi level (unit: states/eV per cell) for the preceding records, in sequence: 11.44; 0.00; 3.84; 7.38; 9.32; 8.78.